Entry 1:
The following is a PBE calculation of PmNdHo4 after structural relaxation, from Alexandria.

Properties
Calculated total energy: -104.42 eV per cell
Mass density: 7.696 Mg/m³

Geometry as CIF:
```
data_PmNdHo4
_space_group_name_H-M_alt 'F -4 3 m'
_space_group_IT_number 216
_space_group_name_Hall 'F -4 2 3'
_cell_length_a 9.356
_cell_length_b 9.356
_cell_length_c 9.356
_cell_angle_alpha 90.00
_cell_angle_beta 90.00
_cell_angle_gamma 90.00
loop_
_atom_site_label
_atom_site_type_symbol
_atom_site_fract_x
_atom_site_fract_y
_atom_site_fract_z
Pm1 Pm 0.000 0.000 0.000
Nd1 Nd 0.250 0.250 0.250
Ho1 Ho 0.125 0.125 0.625
```

Entry 2:
The following is a PBE calculation of Sm3BiTeN after structural relaxation, from Alexandria.

Properties
Calculated total energy: -73.13 eV per cell
Mass density: 7.110 Mg/m³

Geometry as CIF:
```
data_Sm3BiTeN
_space_group_name_H-M_alt 'P 1 21/m 1'
_space_group_IT_number 11
_space_group_name_Hall '-P 2yb'
_cell_length_a 9.330
_cell_length_b 4.276
_cell_length_c 9.444
_cell_angle_alpha 90.00
_cell_angle_beta 96.41
_cell_angle_gamma 90.00
loop_
_atom_site_label
_atom_site_type_symbol
_atom_site_fract_x
_atom_site_fract_y
_atom_site_fract_z
Sm1 Sm 0.109 0.250 0.329
Sm2 Sm 0.145 0.750 0.000
Sm3 Sm 0.389 0.750 0.640
Bi1 Bi 0.157 0.250 0.699
Te1 Te 0.363 0.750 0.310
N1 N 0.089 0.250 0.092
```

Entry 3:
The following is a PBE calculation of TbYTeI after structural relaxation, from Alexandria.

Properties
Calculated total energy: -78.52 eV per cell
Mass density: 7.667 Mg/m³

Geometry as CIF:
```
data_TbYTeI
_space_group_name_H-M_alt 'F -4 3 m'
_space_group_IT_number 216
_space_group_name_Hall 'F -4 2 3'
_cell_length_a 7.578
_cell_length_b 7.578
_cell_length_c 7.578
_cell_angle_alpha 90.00
_cell_angle_beta 90.00
_cell_angle_gamma 90.00
loop_
_atom_site_label
_atom_site_type_symbol
_atom_site_fract_x
_atom_site_fract_y
_atom_site_fract_z
Tb1 Tb 0.000 0.000 0.000
Y1 Y 0.000 0.000 0.500
Te1 Te 0.250 0.250 0.750
I1 I 0.250 0.250 0.250
```

Entry 4:
The following is a PBE calculation of LiGdTm2 after structural relaxation, from Alexandria.

Properties
Calculated total energy: -72.39 eV per cell
Mass density: 6.825 Mg/m³

Geometry as CIF:
```
data_LiGdTm2
_space_group_name_H-M_alt 'R -3 m'
_space_group_IT_number 166
_space_group_name_Hall '-R 3 2"'
_cell_length_a 3.4240
_cell_length_b 3.4240
_cell_length_c 36.0926
_cell_angle_alpha 90.00
_cell_angle_beta 90.00
_cell_angle_gamma 120.00
loop_
_atom_site_label
_atom_site_type_symbol
_atom_site_fract_x
_atom_site_fract_y
_atom_site_fract_z
Li1 Li 0.0000 0.0000 0.0000
Gd1 Gd 0.0000 0.0000 0.5000
Tm1 Tm 0.0000 0.0000 0.0881
```

Entry 5:
The following is a PBE calculation of NiMo2H after structural relaxation, from Alexandria.

Properties
Calculated total energy: -114.30 eV per cell
Mass density: 8.698 Mg/m³

Geometry as CIF:
```
data_NiMo2H
_space_group_name_H-M_alt 'F m -3 m'
_space_group_IT_number 225
_space_group_name_Hall '-F 4 2 3'
_cell_length_a 5.770
_cell_length_b 5.770
_cell_length_c 5.770
_cell_angle_alpha 90.00
_cell_angle_beta 90.00
_cell_angle_gamma 90.00
loop_
_atom_site_label
_atom_site_type_symbol
_atom_site_fract_x
_atom_site_fract_y
_atom_site_fract_z
Ni1 Ni 0.000 0.000 0.000
Mo1 Mo 0.250 0.250 0.250
H1 H 0.000 0.000 0.500
```

Entry 6:
The following is a PBE calculation of CaBe2PH2 after structural relaxation, from Alexandria.

Properties
Calculated total energy: -46.62 eV per cell
Mass density: 2.010 Mg/m³

Geometry as CIF:
```
data_CaBe2PH2
_space_group_name_H-M_alt 'P 1 21/m 1'
_space_group_IT_number 11
_space_group_name_Hall '-P 2yb'
_cell_length_a 6.111
_cell_length_b 4.565
_cell_length_c 6.127
_cell_angle_alpha 90.00
_cell_angle_beta 118.28
_cell_angle_gamma 90.00
loop_
_atom_site_label
_atom_site_type_symbol
_atom_site_fract_x
_atom_site_fract_y
_atom_site_fract_z
Ca1 Ca 0.204 0.250 0.279
Be1 Be 0.296 0.001 0.860
P1 P 0.437 0.750 0.205
H1 H 0.112 0.250 0.848
H2 H 0.155 0.750 0.678
```

Entry 7:
The following is a PBE calculation of BaSnSbTe2 after structural relaxation, from Alexandria.

Properties
Calculated total energy: -13.62 eV per cell
Mass density: 4.238 Mg/m³

Geometry as CIF:
```
data_BaSnSbTe2
_space_group_name_H-M_alt 'P 4/m m m'
_space_group_IT_number 123
_space_group_name_Hall '-P 4 2'
_cell_length_a 6.333
_cell_length_b 6.333
_cell_length_c 6.184
_cell_angle_alpha 90.00
_cell_angle_beta 90.00
_cell_angle_gamma 90.00
loop_
_atom_site_label
_atom_site_type_symbol
_atom_site_fract_x
_atom_site_fract_y
_atom_site_fract_z
Ba1 Ba 0.000 0.000 0.000
Sn1 Sn 0.500 0.500 0.500
Sb1 Sb 0.000 0.000 0.500
Te1 Te 0.000 0.500 0.000
```

Entry 8:
The following is a PBE calculation of Ho2CoNi12B3 after structural relaxation, from Alexandria.

Properties
Calculated total energy: -317.70 eV per cell
Mass density: 8.085 Mg/m³

Geometry as CIF:
```
data_Ho2CoNi12B3
_space_group_name_H-M_alt 'R -3 m'
_space_group_IT_number 166
_space_group_name_Hall '-R 3 2"'
_cell_length_a 7.0918
_cell_length_b 7.0918
_cell_length_c 15.9219
_cell_angle_alpha 90.00
_cell_angle_beta 90.00
_cell_angle_gamma 120.00
loop_
_atom_site_label
_atom_site_type_symbol
_atom_site_fract_x
_atom_site_fract_y
_atom_site_fract_z
Ho1 Ho 0.0000 0.0000 0.0955
Co1 Co 0.0000 0.0000 0.5000
Ni1 Ni 0.0351 0.5175 0.8790
Ni2 Ni 0.0703 0.5351 0.3071
B1 B 0.0000 0.5000 0.0000
```

Entry 9:
The following is a PBE calculation of Si3Rh after structural relaxation, from Alexandria.

Properties
Calculated total energy: -47.63 eV per cell
Mass density: 5.528 Mg/m³

Geometry as CIF:
```
data_Si3Rh
_space_group_name_H-M_alt 'C 1 2/m 1'
_space_group_IT_number 12
_space_group_name_Hall '-C 2y'
_cell_length_a 8.533
_cell_length_b 3.177
_cell_length_c 4.155
_cell_angle_alpha 90.00
_cell_angle_beta 93.52
_cell_angle_gamma 90.00
loop_
_atom_site_label
_atom_site_type_symbol
_atom_site_fract_x
_atom_site_fract_y
_atom_site_fract_z
Si1 Si 0.000 0.000 0.000
Si2 Si 0.243 0.000 0.747
Rh1 Rh 0.000 0.500 0.500
```

Entry 10:
The following is a PBE calculation of HoEr2Tm after structural relaxation, from Alexandria.

Properties
Calculated total energy: -36.37 eV per cell
Mass density: 9.048 Mg/m³

Geometry as CIF:
```
data_HoEr2Tm
_space_group_name_H-M_alt 'P m m n'
_space_group_IT_number 59
_cell_length_a 5.536
_cell_length_b 7.160
_cell_length_c 6.190
_cell_angle_alpha 90.00
_cell_angle_beta 90.00
_cell_angle_gamma 90.00
loop_
_space_group_symop_operation_xyz
'x,y,z'
'-x,-y,-z'
'-x+1/2,-y+1/2,z'
'x+1/2,y+1/2,-z'
'x+1/2,-y,-z'
'-x+1/2,y,z'
'-x,y+1/2,-z'
'x,-y+1/2,z'
loop_
_atom_site_label
_atom_site_type_symbol
_atom_site_fract_x
_atom_site_fract_y
_atom_site_fract_z
Ho1 Ho 0.250 0.250 0.166
Er1 Er 0.250 0.000 0.667
Tm1 Tm 0.250 0.750 0.167
```

Entry 11:
The following is a PBE calculation of Ag3BiBr7 after structural relaxation, from Alexandria.

Properties
Calculated total energy: -57.73 eV per cell
Mass density: 4.443 Mg/m³

Geometry as CIF:
```
data_Ag3BiBr7
_space_group_name_H-M_alt 'C 1 m 1'
_space_group_IT_number 8
_space_group_name_Hall 'C -2y'
_cell_length_a 14.384
_cell_length_b 8.290
_cell_length_c 7.422
_cell_angle_alpha 90.00
_cell_angle_beta 112.76
_cell_angle_gamma 90.00
loop_
_atom_site_label
_atom_site_type_symbol
_atom_site_fract_x
_atom_site_fract_y
_atom_site_fract_z
Ag1 Ag 0.000 0.000 0.000
Ag2 Ag 0.495 0.228 0.559
Bi1 Bi 0.477 0.000 0.035
Br1 Br 0.083 0.234 0.286
Br2 Br 0.087 0.000 0.724
Br3 Br 0.119 0.500 0.861
Br4 Br 0.367 0.255 0.771
Br5 Br 0.371 0.000 0.318
```

Entry 12:
The following is a PBE calculation of SiHg2BS after structural relaxation, from Alexandria.

Properties
Calculated total energy: -11.06 eV per cell
Mass density: 6.379 Mg/m³

Geometry as CIF:
```
data_SiHg2BS
_space_group_name_H-M_alt 'P 4/m m m'
_space_group_IT_number 123
_space_group_name_Hall '-P 4 2'
_cell_length_a 5.199
_cell_length_b 5.199
_cell_length_c 4.548
_cell_angle_alpha 90.00
_cell_angle_beta 90.00
_cell_angle_gamma 90.00
loop_
_atom_site_label
_atom_site_type_symbol
_atom_site_fract_x
_atom_site_fract_y
_atom_site_fract_z
Si1 Si 0.000 0.000 0.000
Hg1 Hg 0.000 0.500 0.000
B1 B 0.500 0.500 0.500
S1 S 0.000 0.000 0.500
```